# CrGeSO, optimized geometry, DFT GGA+U
data_CrGeSO
_cell_length_a 4.046
_cell_length_b 3.977
_cell_length_c 4.778
_cell_angle_alpha 90.00
_cell_angle_beta 110.26
_cell_angle_gamma 90.00
_space_group_name_H-M_alt 'P 1 m 1'
_space_group_IT_number 6
_space_group_name_Hall 'P -2y'
loop_
_atom_site_label
_atom_site_fract_x
_atom_site_fract_y
_atom_site_fract_z
Cr1 0.000 0.000 0.000
Ge1 0.370 0.500 0.479
S1 0.771 0.000 0.440
O1 0.107 0.500 0.070
# **ρ**: 3.98 Mg/m³
# **Total energy**: -6.105 eV/atom